Here is an optimized crystal structure of CuRuSN2 from the Alexandria database. Energies are from PBE.

Unit cell a=3.712 b=3.712 c=5.287 alpha=90.00 beta=90.00 gamma=90.00
Atoms (fractional coordinates):
Ru 0.000 0.000 0.000
S 0.000 0.000 0.500
Cu 0.500 0.500 0.500
N 0.000 0.500 0.000
N 0.500 0.000 0.000

Computed properties:
Relative energy among the computed polymorphs in kJ per mole of atoms: 0.0
Size of the total moment in μB per atom: 0.06

Here is an optimized crystal structure of CuRuS2N from the Alexandria database. Energies are from PBE.

Unit cell a=4.794 b=4.794 c=3.622 alpha=90.00 beta=90.00 gamma=90.00
Atoms (fractional coordinates):
Ru 0.000 0.000 0.000
S 0.000 0.500 0.000
S 0.500 0.000 0.000
Cu 0.500 0.500 0.500
N 0.000 0.000 0.500

Computed properties:
Relative energy among the computed polymorphs in kJ per mole of atoms: 0.0
Size of the total moment in μB per atom: 0.00

Calculated density, 5.12 4.84 g/cm3 (same order as the records).
Calculated N(E_F), 3.5 5.3 states/eV per cell (same order as the records).
Calculated E_tot, -29.97 -26.61 eV per cell (same order as the records).